Version P
The following is a PBE-GGA calculation of an optimized crystal structure of MgSnSCl2, from Alexandria via LeMat-Bulk.

Summary:
V, Å³ per cell: 144
Space group: P4/mmm, No. 123
Magnetic moment, Bohr magnetons per cell: 0.000

abc: 5.268 5.268 5.199
angles: 90.00 90.00 90.00
Element x y z (fractional)
1 Mg 0.000 0.000 0.000
2 Sn 0.500 0.500 0.500
3 S 0.500 0.500 0.000
4 Cl 0.000 0.500 0.500
5 Cl 0.500 0.000 0.500


Version Q
The following is a PBE-GGA calculation of an optimized crystal structure of MgSnSCl2, from Alexandria via LeMat-Bulk.

Summary:
V, Å³ per cell: 117
Space group: P4/mmm, No. 123
Magnetic moment, Bohr magnetons per cell: 0.000

abc: 4.737 4.737 5.202
angles: 90.00 90.00 90.00
Element x y z (fractional)
1 Mg 0.000 0.000 0.000
2 Sn 0.500 0.500 0.500
3 S 0.000 0.000 0.500
4 Cl 0.000 0.500 0.000
5 Cl 0.500 0.000 0.000


Which of them is the least stable? Correct choice: version P.


Version P
The following is a PBE-GGA calculation of an optimized crystal structure of SrMgSCl2, from Alexandria via LeMat-Bulk.

Summary:
V, Å³ per cell: 119
Space group: P4/mmm, No. 123
Magnetic moment, Bohr magnetons per cell: 0.000

abc: 4.832 4.832 5.108
angles: 90.00 90.00 90.00
Element x y z (fractional)
1 Sr 0.000 0.000 0.000
2 Mg 0.500 0.500 0.500
3 S 0.500 0.500 0.000
4 Cl 0.000 0.500 0.500
5 Cl 0.500 0.000 0.500


Version Q
The following is a PBE-GGA calculation of an optimized crystal structure of SrMgSCl2, from Alexandria via LeMat-Bulk.

Summary:
V, Å³ per cell: 170
Space group: P4/mmm, No. 123
Magnetic moment, Bohr magnetons per cell: 0.000

abc: 5.390 5.390 5.860
angles: 90.00 90.00 90.00
Element x y z (fractional)
1 Sr 0.000 0.000 0.000
2 Mg 0.500 0.500 0.500
3 S 0.000 0.000 0.500
4 Cl 0.000 0.500 0.000
5 Cl 0.500 0.000 0.000


Which of them is the least stable? Correct choice: version Q.


Version P
The following is a PBE-GGA calculation of an optimized crystal structure of MgTcSCl2, from Alexandria via LeMat-Bulk.

Summary:
V, Å³ per cell: 110
Space group: P4/mmm, No. 123
Magnetic moment, Bohr magnetons per cell: 0.549

abc: 4.938 4.938 4.515
angles: 90.00 90.00 90.00
Element x y z (fractional)
1 Mg 0.000 0.000 0.000
2 Tc 0.500 0.500 0.500
3 S 0.500 0.500 0.000
4 Cl 0.000 0.500 0.500
5 Cl 0.500 0.000 0.500


Version Q
The following is a PBE-GGA calculation of an optimized crystal structure of MgTcSCl2, from Alexandria via LeMat-Bulk.

Summary:
V, Å³ per cell: 114
Space group: P4/mmm, No. 123
Magnetic moment, Bohr magnetons per cell: 5.030

abc: 4.658 4.658 5.241
angles: 90.00 90.00 90.00
Element x y z (fractional)
1 Mg 0.000 0.000 0.000
2 Tc 0.500 0.500 0.500
3 S 0.000 0.000 0.500
4 Cl 0.000 0.500 0.000
5 Cl 0.500 0.000 0.000


Which of them is the least stable? Correct choice: version Q.